(1)
This record from Alexandria via LeMat-Bulk describes a relaxed structure of Sr2Zn4In3Ge. The functional is GGA-PBE.

## Properties
As for the crystal system: tetragonal. For the formation energy, the calculation gives -271 meV per atom.

a = 4.584 Å, b = 4.584 Å, c = 11.392 Å
α = 90.00°, β = 90.00°, γ = 90.00°
Fractional coordinates of all 10 atoms:
Zn1 0.000 0.000 0.000
Zn2 0.500 0.000 0.632
Zn3 0.000 0.500 0.368
Zn4 0.500 0.500 0.000
Ge1 0.500 0.500 0.500
In1 0.000 0.000 0.500
In2 0.000 0.500 0.133
In3 0.500 0.000 0.867
Sr1 0.000 0.500 0.747
Sr2 0.500 0.000 0.253


(2)
This record from Alexandria via LeMat-Bulk describes a relaxed structure of Sr3Zn2In2Ge4. The functional is GGA-PBE.

## Properties
As for the crystal system: trigonal. For the formation energy, the calculation gives -424 meV per atom.

a = 4.463 Å, b = 4.463 Å, c = 16.574 Å
α = 90.00°, β = 90.00°, γ = 120.00°
Fractional coordinates of all 11 atoms:
Zn1 0.333 0.667 0.135
Zn2 0.667 0.333 0.865
Ge1 0.333 0.667 0.867
Ge2 0.333 0.667 0.384
Ge3 0.667 0.333 0.133
Ge4 0.667 0.333 0.616
In1 0.667 0.333 0.437
In2 0.333 0.667 0.563
Sr1 0.000 0.000 0.732
Sr2 0.000 0.000 0.000
Sr3 0.000 0.000 0.268


(3)
This record from Alexandria via LeMat-Bulk describes a relaxed structure of Ta2InGe. The functional is GGA-PBE.

## Properties
As for the crystal system: tetragonal. For the formation energy, the calculation gives 487 meV per atom.

a = 4.002 Å, b = 4.002 Å, c = 10.451 Å
α = 78.96°, β = 78.96°, γ = 90.00°
Fractional coordinates of all 8 atoms:
Ge1 0.250 0.750 0.500
Ge2 0.500 0.500 0.000
Ta1 0.618 0.125 0.250
Ta2 0.375 0.382 0.750
Ta3 0.132 0.625 0.250
Ta4 0.875 0.868 0.750
In1 0.750 0.250 0.500
In2 0.000 0.000 0.000